[1]
CaCd2Ga | PBE-GGA | relaxed

Cell: 4.689 6.057 7.240 Å, 90.00 90.00 112.77°
Fractional positions:
1 Ca 0.752 0.504 0.500
2 Ca 0.582 0.164 0.000
3 Cd 0.048 0.097 0.699
4 Cd 0.048 0.097 0.301
5 Cd 0.870 0.741 0.000
6 Cd 0.452 0.905 0.500
7 Ga 0.288 0.576 0.810
8 Ga 0.288 0.576 0.190

Output
* raw total energy: -2.022 eV per atom
* DOS(E_F): 2.31 states/eV/cell
* volume: 23.70 A^3/atom
* space group: Amm2, No. 38
* E_form: -0.307 eV/atom



[2]
CaCdGa2 | PBE-GGA | relaxed

Cell: 4.596 4.596 5.734 Å, 66.37 66.37 60.00°
Fractional positions:
1 Ca 0.500 0.500 0.500
2 Ga 0.275 0.275 0.176
3 Ga 0.725 0.725 0.824
4 Cd 0.000 0.000 0.000

Output
* raw total energy: -2.513 eV per atom
* DOS(E_F): 1.52 states/eV/cell
* volume: 23.25 A^3/atom
* space group: R-3m, No. 166
* E_form: -0.270 eV/atom



[3]
CaCdGa2 | PBE-GGA | relaxed

Cell: 4.511 7.260 10.548 Å, 90.00 90.00 90.00°
Fractional positions:
1 Ca 0.750 0.789 0.180
2 Ca 0.250 0.211 0.820
3 Ca 0.750 0.289 0.320
4 Ca 0.250 0.711 0.680
5 Cd 0.250 0.465 0.095
6 Cd 0.250 0.965 0.405
7 Cd 0.750 0.535 0.905
8 Cd 0.750 0.035 0.595
9 Ga 0.750 0.925 0.850
10 Ga 0.250 0.075 0.150
11 Ga 0.750 0.425 0.650
12 Ga 0.250 0.575 0.350
13 Ga 0.750 0.682 0.466
14 Ga 0.250 0.818 0.966
15 Ga 0.750 0.182 0.034
16 Ga 0.250 0.318 0.534

Output
* raw total energy: -2.631 eV per atom
* DOS(E_F): 2.72 states/eV/cell
* volume: 21.59 A^3/atom
* space group: Pnma, No. 62
* E_form: -0.389 eV/atom



[4]
Ca4CdGa3 | PBE-GGA | relaxed

Cell: 5.222 7.508 10.445 Å, 90.00 90.00 90.00°
Fractional positions:
1 Ca 0.500 0.756 0.000
2 Ca 0.500 0.756 0.500
3 Ca 0.500 0.244 0.000
4 Ca 0.500 0.244 0.500
5 Ca 0.000 0.756 0.750
6 Ca 0.000 0.756 0.250
7 Ca 0.000 0.244 0.250
8 Ca 0.000 0.244 0.750
9 Ga 0.000 0.000 0.000
10 Ga 0.000 0.000 0.500
11 Ga 0.500 0.000 0.750
12 Ga 0.500 0.000 0.250
13 Ga 0.500 0.500 0.750
14 Ga 0.500 0.500 0.250
15 Cd 0.000 0.500 0.000
16 Cd 0.000 0.500 0.500

Output
* raw total energy: -2.676 eV per atom
* DOS(E_F): 6.15 states/eV/cell
* volume: 25.60 A^3/atom
* space group: P4/mmm, No. 123
* E_form: -0.426 eV/atom



[5]
CaCd2Ga6 | PBE-GGA | relaxed

Cell: 3.659 7.807 7.807 Å, 120.00 90.00 90.00°
Fractional positions:
1 Ca 0.000 0.000 0.000
2 Cd 0.000 0.333 0.667
3 Cd 0.000 0.667 0.333
4 Ga 0.500 0.339 0.339
5 Ga 0.500 0.661 0.661
6 Ga 0.500 0.000 0.661
7 Ga 0.500 0.661 0.000
8 Ga 0.500 0.339 0.000
9 Ga 0.500 0.000 0.339

Output
* raw total energy: -2.539 eV per atom
* DOS(E_F): 2.92 states/eV/cell
* volume: 21.46 A^3/atom
* space group: P6/mmm, No. 191
* E_form: -0.096 eV/atom



[6]
CaCdGa | PBE-GGA | relaxed

Cell: 3.660 4.725 8.369 Å, 90.00 90.00 90.00°
Fractional positions:
1 Ca 0.312 0.716 0.128
2 Ca 0.312 0.216 0.665
3 Cd 0.811 0.217 0.306
4 Cd 0.811 0.717 0.487
5 Ga 0.812 0.216 0.976
6 Ga 0.812 0.716 0.817

Output
* raw total energy: -2.377 eV per atom
* DOS(E_F): 2.67 states/eV/cell
* volume: 24.13 A^3/atom
* space group: Pmma, No. 51
* E_form: -0.396 eV/atom



[7]
Ca4CdGa | PBE-GGA | relaxed

Cell: 6.157 8.525 8.525 Å, 112.68 101.04 101.04°
Fractional positions:
1 Ca 0.853 0.629 0.781
2 Ca 0.061 0.934 0.288
3 Ca 0.647 0.219 0.371
4 Ca 0.439 0.712 0.066
5 Ca 0.561 0.288 0.934
6 Ca 0.353 0.781 0.629
7 Ca 0.939 0.066 0.712
8 Ca 0.147 0.371 0.219
9 Cd 0.750 0.625 0.375
10 Cd 0.250 0.375 0.625
11 Ga 0.250 0.000 0.000
12 Ga 0.750 0.000 0.000

Output
* raw total energy: -2.244 eV per atom
* DOS(E_F): 14.17 states/eV/cell
* energy above the lowest structure with this stoichiometry: 0 meV per atom
* volume: 32.29 A^3/atom
* space group: C2/c, No. 15
* E_form: -0.253 eV/atom



[8]
Ca2Cd3Ga | PBE-GGA | relaxed

Cell: 3.671 4.822 8.546 Å, 90.00 90.00 90.00°
Fractional positions:
1 Ca 0.000 0.500 0.009
2 Ca 0.000 0.000 0.491
3 Cd 0.500 0.000 0.836
4 Cd 0.500 0.000 0.172
5 Cd 0.500 0.500 0.658
6 Ga 0.500 0.500 0.334

Output
* raw total energy: -1.994 eV per atom
* DOS(E_F): 2.55 states/eV/cell
* energy above the lowest structure with this stoichiometry: 0 meV per atom
* volume: 25.22 A^3/atom
* space group: Pmm2, No. 25
* E_form: -0.365 eV/atom



Question: Look up the volume of the sixth one.
Answer: 24.13 A^3/atom